Record 1
Material: ErGa2Au
Method: DFT, PBE
State: relaxed

Values from the calculation:
density: 10.759 g/cm3
Fermi-level density of states: 0.395 states/eV per cell
E: -4.0435 eV/atom
V: 77.7 Å³ per cell

Geometry as POSCAR:
```
ErGa2Au
1.0
-1.037 0.007 4.128
-1.936 -3.779 -0.480
3.665 -1.994 0.924
Ga Er Au
2 1 1
Direct
0.000 0.000 0.500 Ga
0.000 0.500 0.000 Ga
0.500 0.500 0.500 Er
0.500 0.000 0.000 Au
```

=====

Record 2
Material: TbPuAgPd
Method: DFT, PBE
State: relaxed

Values from the calculation:
density: 11.022 g/cm3
Fermi-level density of states: 12.318 states/eV per cell
E: -7.0667 eV/atom
V: 93.0 Å³ per cell

Geometry as POSCAR:
```
TbPuAgPd
1.0
-3.306 -3.597 1.411
-2.033 -3.093 -3.487
1.354 -4.899 -0.152
Pu Pd Tb Ag
1 1 1 1
Direct
0.250 0.250 0.250 Pu
0.500 0.500 0.500 Pd
0.750 0.750 0.750 Tb
0.000 0.000 0.000 Ag
```

=====

Record 3
Material: Nd2Sm4In
Method: DFT, PBE
State: relaxed

Values from the calculation:
density: 7.124 g/cm3
E above lowest polymorph: 0 meV per atom
Fermi-level density of states: 10.808 states/eV per cell
V: 234.2 Å³ per cell

Geometry as POSCAR:
```
Nd2Sm4In
1.0
-1.196 2.986 -1.788
-1.033 -0.256 -3.523
-19.431 -3.115 4.004
Sm In Nd
4 1 2
Direct
0.709 0.709 0.873 Sm
0.291 0.291 0.127 Sm
0.092 0.092 0.725 Sm
0.908 0.908 0.275 Sm
0.000 0.000 0.000 In
0.192 0.192 0.424 Nd
0.808 0.808 0.576 Nd
```

=====

Record 4
Material: K2LiRhW
Method: DFT, PBE
State: relaxed

Values from the calculation:
density: 4.658 g/cm3
Fermi-level density of states: 3.967 states/eV per cell
E: -3.2036 eV/atom
V: 132.6 Å³ per cell

Geometry as POSCAR:
```
K2LiRhW
1.0
5.353 0.000 0.000
0.000 4.626 0.000
0.000 0.000 5.353
Li Rh K W
1 1 2 1
Direct
0.000 0.000 0.000 Li
0.000 0.500 0.000 Rh
0.000 0.000 0.500 K
0.500 0.000 0.000 K
0.500 0.500 0.500 W
```

=====

Record 5
Material: Ca2HgPb4
Method: DFT, PBE
State: relaxed

Values from the calculation:
density: 7.934 g/cm3
Fermi-level density of states: 5.628 states/eV per cell
E: -2.8876 eV/atom
V: 232.2 Å³ per cell

Geometry as POSCAR:
```
Ca2HgPb4
1.0
4.457 0.000 -1.027
-0.237 4.451 -1.027
0.316 0.334 11.553
Ca Hg Pb
2 1 4
Direct
0.591 0.591 0.183 Ca
0.409 0.409 0.817 Ca
0.000 0.000 0.000 Hg
0.750 0.250 0.500 Pb
0.250 0.750 0.500 Pb
0.864 0.864 0.728 Pb
0.136 0.136 0.272 Pb
```

=====

Record 6
Material: LaAlSb2
Method: DFT, PBE
State: relaxed

Values from the calculation:
density: 6.158 g/cm3
Fermi-level density of states: 2.545 states/eV per cell
V: 110.4 Å³ per cell
uncorrected formation energy: -0.82 eV per formula unit

Geometry as POSCAR:
```
LaAlSb2
1.0
5.385 0.000 0.000
2.692 4.663 0.000
2.692 1.554 4.397
Sb Al La
2 1 1
Direct
0.000 0.000 0.000 Sb
0.250 0.250 0.250 Sb
0.500 0.500 0.500 Al
0.750 0.750 0.750 La
```

=====

Record 7
Material: NaScC
Method: DFT, PBE
State: relaxed

Values from the calculation:
density: 2.152 g/cm3
E above lowest polymorph: 201 meV per atom
Fermi-level density of states: 1.390 states/eV per cell
V: 123.4 Å³ per cell

Geometry as POSCAR:
```
NaScC
1.0
6.500 0.009 0.003
2.246 4.852 0.001
-2.810 -4.602 3.913
Na C Sc
2 2 2
Direct
0.565 0.735 0.602 Na
0.064 0.341 0.450 Na
0.895 0.891 0.417 C
0.734 0.185 0.635 C
0.558 0.714 0.077 Sc
0.071 0.361 0.975 Sc
```

=====

Record 8
Material: Li2DyAg8
Method: DFT, PBE
State: relaxed

Values from the calculation:
density: 8.587 g/cm3
Fermi-level density of states: 5.230 states/eV per cell
E: -3.0020 eV/atom
V: 201.0 Å³ per cell

Geometry as POSCAR:
```
Li2DyAg8
1.0
-2.367 -2.516 2.219
2.280 -5.282 -3.558
5.810 2.143 4.830
Ag Li Dy
8 2 1
Direct
0.853 0.796 0.706 Ag
0.047 0.718 0.094 Ag
0.147 0.204 0.294 Ag
0.685 0.915 0.370 Ag
0.315 0.085 0.630 Ag
0.953 0.282 0.906 Ag
0.401 0.535 0.802 Ag
0.599 0.465 0.198 Ag
0.779 0.356 0.558 Li
0.221 0.644 0.442 Li
0.500 0.000 0.000 Dy
```

=====

Record 9
Material: CdIn3Hg4
Method: DFT, PBE
State: relaxed

Values from the calculation:
density: 9.794 g/cm3
E above lowest polymorph: 7 meV per atom
Fermi-level density of states: 2.719 states/eV per cell
V: 213.5 Å³ per cell

Geometry as POSCAR:
```
CdIn3Hg4
1.0
3.744 0.000 0.000
0.000 5.084 0.000
0.000 0.000 11.217
Cd Hg In
1 4 3
Direct
0.500 0.500 0.111 Cd
0.000 0.500 0.884 Hg
0.500 0.500 0.374 Hg
0.000 0.000 0.121 Hg
0.500 0.000 0.620 Hg
0.000 0.500 0.614 In
0.000 0.000 0.388 In
0.500 0.000 0.886 In
```

=====

Record 10
Material: La4GeBr5
Method: DFT, PBE
State: relaxed

Values from the calculation:
density: 4.821 g/cm3
Fermi-level density of states: 4.200 states/eV per cell
V: 354.0 Å³ per cell
uncorrected formation energy: -16.14 eV per formula unit

Geometry as POSCAR:
```
La4GeBr5
1.0
-0.064 1.629 3.980
3.796 -7.402 3.090
7.486 4.719 -4.135
Br La Ge
5 4 1
Direct
0.167 0.329 0.335 Br
0.169 0.835 0.339 Br
0.833 0.671 0.665 Br
0.831 0.165 0.661 Br
0.500 0.500 0.000 Br
0.001 0.230 0.001 La
0.656 0.081 0.312 La
0.344 0.919 0.688 La
0.999 0.770 0.999 La
0.500 0.000 0.000 Ge
```

=====

Record 11
Material: EuCdBiPb
Method: DFT, PBE
State: relaxed

Values from the calculation:
density: 9.132 g/cm3
Fermi-level density of states: 6.598 states/eV per cell
E: -5.0081 eV/atom
V: 123.8 Å³ per cell

Geometry as POSCAR:
```
EuCdBiPb
1.0
-0.104 -5.479 -1.122
2.997 -3.550 3.115
-2.584 -3.522 3.494
Pb Eu Cd Bi
1 1 1 1
Direct
0.500 0.500 0.500 Pb
0.000 0.000 0.000 Eu
0.750 0.750 0.750 Cd
0.250 0.250 0.250 Bi
```

=====

Record 12
Material: Hf2ScFe
Method: DFT, PBE
State: relaxed

Values from the calculation:
density: 10.368 g/cm3
E above lowest polymorph: 275 meV per atom
Fermi-level density of states: 6.175 states/eV per cell
V: 73.3 Å³ per cell

Geometry as POSCAR:
```
Hf2ScFe
1.0
-0.351 3.227 3.397
-3.285 3.347 -0.270
-3.669 -0.067 2.934
Sc Hf Fe
1 2 1
Direct
0.000 0.000 0.000 Sc
0.750 0.750 0.750 Hf
0.250 0.250 0.250 Hf
0.500 0.500 0.500 Fe
```

=====

Record 13
Material: RbNaGa2H8
Method: DFT, PBE
State: relaxed

Values from the calculation:
density: 2.354 g/cm3
Fermi-level density of states: 0.000 states/eV per cell
E: -3.0913 eV/atom
V: 180.6 Å³ per cell

Geometry as POSCAR:
```
RbNaGa2H8
1.0
5.122 0.000 0.000
2.561 4.436 0.000
2.561 1.479 7.949
H Rb Ga Na
8 1 2 1
Direct
0.188 0.188 0.437 H
0.565 0.290 0.174 H
0.812 0.812 0.563 H
0.028 0.435 0.826 H
0.972 0.565 0.174 H
0.290 0.972 0.174 H
0.435 0.710 0.826 H
0.710 0.028 0.826 H
0.500 0.500 0.500 Rb
0.745 0.745 0.766 Ga
0.255 0.255 0.234 Ga
0.000 0.000 0.000 Na
```

=====

Record 14
Material: Ti2InSi
Method: DFT, PBE
State: relaxed

Values from the calculation:
density: 5.351 g/cm3
Fermi-level density of states: 7.254 states/eV per cell
V: 148.1 Å³ per cell
uncorrected formation energy: -0.05 eV per formula unit

Geometry as POSCAR:
```
Ti2InSi
1.0
7.236 0.000 0.000
0.000 7.236 0.000
3.618 3.618 2.829
In Si Ti
2 2 4
Direct
0.750 0.250 0.500 In
0.000 0.000 0.000 In
0.500 0.500 0.000 Si
0.250 0.750 0.500 Si
0.375 0.399 0.750 Ti
0.601 0.125 0.250 Ti
0.149 0.625 0.250 Ti
0.875 0.851 0.750 Ti
```

=====

Record 15
Material: CaUGeO6
Method: DFT, PBE
State: relaxed

Values from the calculation:
density: 5.966 g/cm3
Fermi-level density of states: 0.000 states/eV per cell
V: 248.7 Å³ per cell
uncorrected formation energy: -23.25 eV per formula unit

Geometry as POSCAR:
```
CaUGeO6
1.0
-3.804 -2.197 -3.026
2.890 -3.052 3.285
-6.738 1.536 7.354
O Ca Ge U
12 2 2 2
Direct
0.976 0.350 0.143 O
0.350 0.976 0.643 O
0.976 0.626 0.357 O
0.374 0.350 0.357 O
0.650 0.626 0.143 O
0.350 0.374 0.857 O
0.650 0.024 0.357 O
0.024 0.374 0.643 O
0.374 0.024 0.143 O
0.626 0.650 0.643 O
0.626 0.976 0.857 O
0.024 0.650 0.857 O
0.000 0.000 0.000 Ca
0.000 0.000 0.500 Ca
0.667 0.333 0.250 Ge
0.333 0.667 0.750 Ge
0.667 0.333 0.750 U
0.333 0.667 0.250 U
```

=====

Record 16
Material: MgSiW2
Method: DFT, PBE
State: relaxed

Values from the calculation:
density: 11.013 g/cm3
Fermi-level density of states: 2.302 states/eV per cell
V: 63.3 Å³ per cell
uncorrected formation energy: 0.99 eV per formula unit

Geometry as POSCAR:
```
MgSiW2
1.0
2.763 0.016 0.000
-0.846 2.630 0.000
0.000 0.000 8.702
Mg Si W
1 1 2
Direct
0.500 0.500 0.250 Mg
0.500 0.500 0.750 Si
0.000 0.000 0.976 W
0.000 0.000 0.524 W
```

=====

Record 17
Material: MgCoW2
Method: DFT, PBE
State: relaxed

Values from the calculation:
density: 12.397 g/cm3
Fermi-level density of states: 2.815 states/eV per cell
E: -8.3933 eV/atom
V: 60.4 Å³ per cell

Geometry as POSCAR:
```
MgCoW2
1.0
5.294 -0.009 -0.013
4.432 2.897 -0.013
1.800 0.534 3.924
W Mg Co
2 1 1
Direct
0.017 0.017 0.983 W
0.483 0.483 0.517 W
0.250 0.250 0.250 Mg
0.750 0.750 0.750 Co
```

=====

Record 18
Material: Be2CoRu
Method: DFT, PBE
State: relaxed

Values from the calculation:
density: 7.364 g/cm3
Fermi-level density of states: 4.669 states/eV per cell
E: -6.1836 eV/atom
V: 40.1 Å³ per cell

Geometry as POSCAR:
```
Be2CoRu
1.0
-2.170 -0.670 -3.000
-2.752 -1.211 2.262
-1.031 2.637 0.157
Be Co Ru
2 1 1
Direct
0.000 0.000 0.000 Be
0.500 0.500 0.000 Be
0.500 0.000 0.500 Co
0.000 0.500 0.500 Ru
```

=====

Record 19
Material: Sm5Y4Tc2
Method: DFT, PBE
State: relaxed

Values from the calculation:
density: 6.627 g/cm3
Fermi-level density of states: 13.837 states/eV per cell
E: -6.3033 eV/atom
V: 326.6 Å³ per cell

Geometry as POSCAR:
```
Sm5Y4Tc2
1.0
-3.562 -0.136 -0.843
1.967 -2.439 -7.920
-0.359 -9.987 3.125
Y Tc Sm
4 2 5
Direct
0.500 0.174 0.855 Y
0.500 0.816 0.545 Y
0.500 0.184 0.455 Y
0.500 0.826 0.145 Y
0.000 0.929 0.343 Tc
0.000 0.071 0.657 Tc
0.000 0.167 0.160 Sm
0.000 0.436 0.662 Sm
0.000 0.833 0.840 Sm
0.000 0.500 0.000 Sm
0.000 0.564 0.338 Sm
```

=====

Record 20
Material: BaAc2Pd
Method: DFT, PBE
State: relaxed

Values from the calculation:
density: 6.469 g/cm3
E above lowest polymorph: 0 meV per atom
Fermi-level density of states: 5.399 states/eV per cell
V: 179.1 Å³ per cell

Geometry as POSCAR:
```
BaAc2Pd
1.0
4.439 0.000 0.000
2.219 3.844 0.000
2.219 1.281 10.498
Ac Ba Pd
2 1 1
Direct
0.280 0.280 0.159 Ac
0.053 0.053 0.842 Ac
0.501 0.501 0.497 Ba
0.666 0.666 0.002 Pd
```

=====

Record 21
Material: BaSrZn2Au5
Method: DFT, PBE
State: relaxed

Values from the calculation:
density: 10.445 g/cm3
Fermi-level density of states: 3.079 states/eV per cell
E: -2.9657 eV/atom
V: 213.1 Å³ per cell

Geometry as POSCAR:
```
BaSrZn2Au5
1.0
-0.997 1.537 4.451
3.198 -3.119 1.793
6.605 6.361 -0.717
Sr Au Ba Zn
1 5 1 2
Direct
0.000 0.000 0.000 Sr
0.500 0.000 0.250 Au
0.000 0.500 0.750 Au
0.500 0.000 0.750 Au
0.500 0.500 0.500 Au
0.000 0.500 0.250 Au
0.000 0.000 0.500 Ba
0.500 0.500 0.860 Zn
0.500 0.500 0.140 Zn
```

=====

Record 22
Material: YNp6S8
Method: DFT, PBE
State: relaxed

Values from the calculation:
density: 8.693 g/cm3
Fermi-level density of states: 42.588 states/eV per cell
V: 337.6 Å³ per cell
uncorrected formation energy: -22.21 eV per formula unit

Geometry as POSCAR:
```
YNp6S8
1.0
-5.928 -4.886 1.439
-0.349 -6.902 -3.651
1.257 -6.601 3.992
Np S Y
6 8 1
Direct
0.500 0.000 0.500 Np
0.500 0.000 0.000 Np
0.000 0.000 0.500 Np
0.500 0.500 0.000 Np
0.000 0.500 0.000 Np
0.000 0.500 0.500 Np
0.750 0.750 0.250 S
0.250 0.750 0.250 S
0.250 0.750 0.750 S
0.750 0.250 0.250 S
0.250 0.250 0.750 S
0.750 0.250 0.750 S
0.750 0.750 0.750 S
0.250 0.250 0.250 S
0.000 0.000 0.000 Y
```